A plane-wave DFT calculation with PBE was carried out for a relaxed structure of Sc3Cr2.

Summary:
The value obtained for the energy above the most stable polymorph in this dataset is 53 kJ/mol of formula units. For the formation energy, the calculation gives 0.437 eV/atom. Its space group is R-3m. The total energy comes out at -36.06 eV per formula unit.

Lattice parameters (Å, degrees): 11.8136 11.8136 11.8136 15.20 15.20 15.20
Last column: nearest neighbours and their distance in Å.
Sites, in units of the cell vectors:
Sc  0.0000  0.0000  0.0000  6 Cr 2.87, 6 Sc 3.13
Sc  0.7920  0.7920  0.7920  3 Cr 2.81, 6 Sc 3.13
Sc  0.2080  0.2080  0.2080  3 Cr 2.81, 6 Sc 3.13
Cr  0.6029  0.6029  0.6029  6 Sc 2.81-2.87, 6 Cr 3.13
Cr  0.3971  0.3971  0.3971  6 Sc 2.81-2.87, 6 Cr 3.13

---

A plane-wave DFT calculation with PBE was carried out for a relaxed structure of Al2TlSe.

Summary:
The value obtained for the energy above the most stable polymorph in this dataset is 44 kJ/mol of formula units. For the formation energy from raw total energies, the calculation gives -0.03 eV/f.u. Its space group is Cmmm. The total energy comes out at -13.36 eV per formula unit.

Lattice parameters (Å, degrees): 3.6285 5.3204 5.3206 68.65 90.00 90.00
Last column: nearest neighbours and their distance in Å.
Sites, in units of the cell vectors:
Tl  0.5000  0.7500  0.7500  2 Se 3.00, 4 Al 3.05
Al  0.0000  0.0298  0.0295  2 Se 2.65
Al  0.0000  0.4702  0.4705  2 Se 2.65
Se  0.5000  0.2500  0.2500  4 Al 2.65

---

A plane-wave DFT calculation with PBE was carried out for a relaxed structure of PmHf2As4.

Summary:
For the formation energy, the calculation gives -0.922 eV/atom. Its space group is Cmcm. The total energy comes out at -49.71 eV per formula unit.

Lattice parameters (Å, degrees): 3.9024 6.6972 12.9260 90.00 90.00 106.94
Last column: nearest neighbours and their distance in Å.
Sites, in units of the cell vectors:
Pm  0.6094  0.2187  0.7500  6 As 2.96-3.01
Pm  0.3906  0.7813  0.2500  6 As 2.96-3.01
Hf  0.1340  0.2681  0.4418  6 As 2.63-2.71
Hf  0.8660  0.7319  0.9418  6 As 2.63-2.71
Hf  0.1340  0.2681  0.0582  6 As 2.63-2.71
Hf  0.8660  0.7319  0.5582  6 As 2.63-2.71
As  0.7631  0.5262  0.1250  3 Hf 2.70-2.71, 2 Pm 3.01
As  0.7631  0.5262  0.3750  3 Hf 2.70-2.71, 2 Pm 3.01
As  0.2369  0.4738  0.8750  3 Hf 2.70-2.71, 2 Pm 3.01
As  0.2369  0.4738  0.6250  3 Hf 2.70-2.71, 2 Pm 3.01
As  0.9355  0.8710  0.7500  2 Hf 2.63
As  0.0645  0.1290  0.2500  2 Hf 2.63
As  0.5000  0.0000  0.0000  4 Hf 2.71
As  0.5000  0.0000  0.5000  4 Hf 2.71

---

A plane-wave DFT calculation with PBE was carried out for a relaxed structure of Cr2NiRh.

Summary:
For the formation energy, the calculation gives 0.070 eV/atom. Its space group is P4mm. The total energy comes out at -32.10 eV per formula unit.

Lattice parameters (Å, degrees): 2.9642 2.9642 5.6006 90.00 90.00 90.00
Last column: nearest neighbours and their distance in Å.
Sites, in units of the cell vectors:
Cr  0.0000  0.0000  0.0190  4 Cr 2.49, 1 Ni 2.54, 4 Rh 2.58
Cr  0.5000  0.5000  0.2592  4 Ni 2.41, 4 Cr 2.49
Ni  0.0000  0.0000  0.4716  5 Cr 2.41-2.54, 4 Rh 2.61
Rh  0.5000  0.5000  0.7502  6 Cr 2.58-2.85, 4 Ni 2.61

---

A plane-wave DFT calculation with PBE was carried out for a relaxed structure of Rb2InAu5.

Summary:
For the formation energy, the calculation gives -0.207 eV/atom. Its space group is Fmm2. The total energy comes out at -22.72 eV per formula unit.

Lattice parameters (Å, degrees): 7.2817 7.2907 7.2907 79.80 126.10 126.10
Last column: nearest neighbours and their distance in Å.
Sites, in units of the cell vectors:
Rb  0.5005  0.6042  0.1050  10 Au 3.39-3.66
Rb  0.5005  0.1050  0.6042  10 Au 3.39-3.66
In  0.0003  0.9238  0.9238  5 Au 2.75-2.77
Au  0.9997  0.1374  0.5723  1 In 2.75, 3 Au 2.87-2.89
Au  0.4337  0.5718  0.5718  1 In 2.75, 3 Au 2.87-2.89
Au  0.5658  0.1375  0.1375  1 In 2.75, 3 Au 2.87-2.88
Au  0.9997  0.5723  0.1374  1 In 2.75, 3 Au 2.87-2.89
Au  0.9997  0.1710  0.1711  1 In 2.77, 4 Au 2.88-2.89

---

A plane-wave DFT calculation with PBE was carried out for a relaxed structure of NaGeTeS4.

Summary:
For the formation energy from raw total energies, the calculation gives -1.89 eV/f.u. Its space group is Cmcm. The total energy comes out at -27.47 eV per formula unit.

Lattice parameters (Å, degrees): 6.6780 6.6780 8.5649 90.00 90.00 112.24
Last column: nearest neighbours and their distance in Å.
Sites, in units of the cell vectors:
Na  0.5000  0.5000  0.5000  6 S 2.85-2.93
Na  0.5000  0.5000  0.0000  6 S 2.85-2.93
Ge  0.1219  0.8781  0.2500  4 S 2.22-2.25
Ge  0.8781  0.1219  0.7500  4 S 2.22-2.25
Te  0.8081  0.1919  0.2500  4 S 2.61-2.67
Te  0.1919  0.8081  0.7500  4 S 2.61-2.67
S  0.2403  0.2239  0.7500  1 Ge 2.25
S  0.7761  0.7597  0.7500  1 Ge 2.25
S  0.7546  0.2454  0.9536  1 Ge 2.22
S  0.7546  0.2454  0.5464  1 Ge 2.22
S  0.2454  0.7546  0.0464  1 Ge 2.22
S  0.2454  0.7546  0.4536  1 Ge 2.22
S  0.7597  0.7761  0.2500  1 Ge 2.25
S  0.2239  0.2403  0.2500  1 Ge 2.25